The following is a PBE calculation of crystalline CoSn2Pb2 at its relaxed geometry, from the Alexandria database.

a = 6.8192 Å, b = 6.8192 Å, c = 5.4975 Å
α = 90.00°, β = 90.00°, γ = 90.00°
Site moments in Bohr magnetons follow the coordinates.
Positions (direct):
Pb 0.1730 0.6730 0.5000  -0.01
Pb 0.3270 0.1730 0.5000  -0.01
Pb 0.8270 0.3270 0.5000  -0.01
Pb 0.6730 0.8270 0.5000  -0.01
Sn 0.6578 0.1578 0.0000  -0.02
Sn 0.1578 0.3422 0.0000  -0.02
Sn 0.3422 0.8422 0.0000  -0.02
Sn 0.8422 0.6578 0.0000  -0.02
Co 0.5000 0.5000 0.0000  0.59
Co 0.0000 0.0000 0.0000  0.59

**Crystal system**: tetragonal
**V**: 25.56 A^3/atom
**E**: -42.9 eV for the cell shown
**Theoretical density**: 9.2 g/cm3
**SG**: No. 127
**Energy of formation**: 1.055 eV/f.u.
**Magnetic moment**: 0.5 μB per formula unit
**Polymorph energy (0 for the lowest one)**: 0 meV per atom

---

The following is a PBE calculation of crystalline CoSn2Pb2 at its relaxed geometry, from the Alexandria database.

a = 4.2629 Å, b = 4.2629 Å, c = 8.6354 Å
α = 75.71°, β = 75.71°, γ = 90.00°
Site moments in Bohr magnetons follow the coordinates.
Positions (direct):
Pb 0.2500 0.7500 0.5000  0.01
Pb 0.7500 0.2500 0.5000  0.01
Sn 0.5874 0.5874 0.8251  -0.03
Sn 0.4126 0.4126 0.1749  -0.03
Co 0.0000 0.0000 0.0000  1.98

**Crystal system**: tetragonal
**V**: 29.41 A^3/atom
**E**: -18.8 eV for the cell shown
**Theoretical density**: 8.0 g/cm3
**SG**: No. 139
**Energy of formation**: 3.727 eV/f.u.
**Magnetic moment**: 2.0 μB per formula unit
**Polymorph energy (0 for the lowest one)**: 535 meV per atom

---

The following is a PBE calculation of crystalline Co2Sn2Pb at its relaxed geometry, from the Alexandria database.

a = 4.2812 Å, b = 4.2812 Å, c = 6.2414 Å
α = 69.94°, β = 69.94°, γ = 90.00°
Positions (direct):
Sn 0.2500 0.7500 0.5000
Sn 0.7500 0.2500 0.5000
Pb 0.0000 0.0000 0.0000
Co 0.6092 0.6092 0.7816
Co 0.3908 0.3908 0.2184

**Crystal system**: tetragonal
**V**: 20.01 A^3/atom
**E**: -24.4 eV for the cell shown
**Theoretical density**: 9.3 g/cm3
**SG**: No. 139
**Energy of formation**: 1.551 eV/f.u.
**Magnetic moment**: 0.0 μB per formula unit
**Polymorph energy (0 for the lowest one)**: 85 meV per atom

---

The following is a PBE calculation of crystalline CoSn3Pb at its relaxed geometry, from the Alexandria database.

a = 5.7498 Å, b = 5.7498 Å, c = 5.7498 Å
α = 90.00°, β = 90.00°, γ = 90.00°
Site moments in Bohr magnetons follow the coordinates.
Positions (direct):
Sn 0.0000 0.5000 0.0000  -0.03
Sn 0.5000 0.0000 0.0000  -0.01
Sn 0.0000 0.0000 0.5000  -0.02
Pb 0.0000 0.0000 0.0000  0.00
Co 0.5000 0.5000 0.5000  2.14

**Crystal system**: cubic
**V**: 38.02 A^3/atom
**E**: -15.9 eV for the cell shown
**Theoretical density**: 5.4 g/cm3
**SG**: No. 221
**Energy of formation**: 6.932 eV/f.u.
**Magnetic moment**: 2.1 μB per formula unit
**Polymorph energy (0 for the lowest one)**: 1273 meV per atom

---

The following is a PBE calculation of crystalline TaCo2SnPb at its relaxed geometry, from the Alexandria database.

a = 4.6489 Å, b = 5.5409 Å, c = 4.6489 Å
α = 90.00°, β = 90.00°, γ = 90.00°
Site moments in Bohr magnetons follow the coordinates.
Positions (direct):
Co 0.5000 0.0000 0.0000  1.37
Co 0.0000 0.0000 0.5000  1.35
Pb 0.0000 0.0000 0.0000  -0.05
Ta 0.5000 0.5000 0.5000  -0.83
Sn 0.0000 0.5000 0.0000  0.05

**Crystal system**: tetragonal
**V**: 23.95 A^3/atom
**E**: -24.4 eV for the cell shown
**Theoretical density**: 8.7 g/cm3
**SG**: No. 123
**Energy of formation**: 9.404 eV/f.u.
**Magnetic moment**: 1.4 μB per formula unit

---

The following is a PBE calculation of crystalline CoSn2TePb at its relaxed geometry, from the Alexandria database.

a = 4.9529 Å, b = 4.9529 Å, c = 5.3024 Å
α = 90.00°, β = 90.00°, γ = 90.00°
Positions (direct):
Pb 0.0000 0.0000 0.5000
Te 0.5000 0.5000 0.5000
Sn 0.5000 0.0000 0.0000
Sn 0.0000 0.5000 0.0000
Co 0.0000 0.0000 0.0000

**Crystal system**: tetragonal
**V**: 26.02 A^3/atom
**E**: -22.2 eV for the cell shown
**Theoretical density**: 8.1 g/cm3
**SG**: No. 123
**Formation energy from raw total energies**: -0.24 eV/f.u.
**Magnetic moment**: 0.0 μB per formula unit

---

The following is a PBE calculation of crystalline CoSnTePb2 at its relaxed geometry, from the Alexandria database.

a = 5.2060 Å, b = 5.2060 Å, c = 4.9402 Å
α = 90.00°, β = 90.00°, γ = 90.00°
Positions (direct):
Te 0.5000 0.5000 0.5000
Pb 0.5000 0.0000 0.0000
Pb 0.0000 0.5000 0.0000
Co 0.0000 0.0000 0.0000
Sn 0.0000 0.0000 0.5000

**Crystal system**: tetragonal
**V**: 26.78 A^3/atom
**E**: -21.7 eV for the cell shown
**Theoretical density**: 8.9 g/cm3
**SG**: No. 123
**Formation energy from raw total energies**: -0.07 eV/f.u.
**Magnetic moment**: 0.0 μB per formula unit

---

The following is a PBE calculation of crystalline TlCoSn2Pb at its relaxed geometry, from the Alexandria database.

a = 5.0043 Å, b = 5.0043 Å, c = 5.2332 Å
α = 90.00°, β = 90.00°, γ = 90.00°
Positions (direct):
Sn 0.5000 0.0000 0.0000
Sn 0.0000 0.5000 0.0000
Pb 0.0000 0.0000 0.5000
Tl 0.5000 0.5000 0.5000
Co 0.0000 0.0000 0.0000

**Crystal system**: tetragonal
**V**: 26.21 A^3/atom
**E**: -20.6 eV for the cell shown
**Theoretical density**: 9.0 g/cm3
**SG**: No. 123
**Energy of formation**: 0.571 eV/f.u.
**Magnetic moment**: 0.0 μB per formula unit
**Polymorph energy (0 for the lowest one)**: 0 meV per atom